DFT (PBE) results for AcNiGe3 after structural relaxation.

The structure belongs to space group Pm-3m (No. 221); the cell edges are 4.7818, 4.7818 and 4.7818 Å and the angles 90.00°, 90.00° and 90.00°. The inequivalent atoms are Ac at (0.0000, 0.0000, 0.0000), Ni at (0.5000, 0.5000, 0.5000) and Ge at (0.0000, 0.5000, 0.5000).

The crystal system is cubic. For the excess energy over the best structure of this formula in the dataset, the calculation gives 364 meV per atom. The calculation puts the formation energy at -1.1 eV/f.u.